30
Lattice="-8.199 8.199 4.629 8.199 -8.199 4.629 8.199 8.199 -4.629" Properties=species:S:1:pos:R:3 comment="Cs4K4Au7 | Alexandria via LeMat-Bulk | PBE | relaxed" delta_e_f_ev_per_atom=-0.256 spacegroup=I4/mmm pbc="T T T"
Cs 3.059 0.000 0.000
Cs 13.339 0.000 0.000
Cs 0.000 3.059 0.000
Cs 6.055 6.055 0.000
Cs 2.145 -2.145 4.629
Cs -2.145 2.145 4.629
Cs 2.145 2.145 4.629
Cs 0.000 13.339 0.000
K 5.967 -2.232 2.315
K 10.432 -2.232 2.315
K 5.967 2.232 2.315
K 10.432 2.232 2.315
K -2.232 5.967 2.315
K 2.232 5.967 2.315
K -2.232 10.432 2.315
K 2.232 10.432 2.315
Au 6.798 0.000 0.000
Au 9.600 0.000 0.000
Au 8.199 2.945 0.000
Au 3.528 3.528 0.000
Au 4.671 -4.671 4.629
Au 0.000 0.000 2.298
Au 0.000 6.798 0.000
Au 2.945 8.199 0.000
Au 5.254 0.000 4.629
Au 0.000 9.600 0.000
Au 0.000 0.000 6.960
Au -4.671 4.671 4.629
Au 4.671 4.671 4.629
Au 0.000 5.254 4.629